# 1
Here is a relaxed SmRuCl crystal from Alexandria via LeMat-Bulk. Energies are from PBE.

Output
- Total magnetic moment: 0.00 Bohr magnetons per cell
- Raw total energy: -74.53 eV per cell
- Raw formation energy: -930 meV/atom

```
SmRuCl
1.0
3.695 0.000 0.000
0.000 3.732 0.000
0.000 0.000 20.372
Sm Cl Ru
4 4 4
direct
0.811 0.250 0.113
0.311 0.750 0.387
0.689 0.250 0.613
0.189 0.750 0.887
0.808 0.250 0.321
0.308 0.750 0.179
0.192 0.750 0.679
0.692 0.250 0.821
0.283 0.250 0.000
0.717 0.750 0.000
0.783 0.750 0.500
0.217 0.250 0.500
```


# 2
Here is a relaxed Sm3TeRuCl crystal from Alexandria via LeMat-Bulk. Energies are from PBE.

Output
- Total magnetic moment: 0.00 Bohr magnetons per cell
- Raw total energy: -68.41 eV per cell
- Raw formation energy: -964 meV/atom

```
Sm3TeRuCl
1.0
-0.021 3.553 -2.356
-8.615 -0.568 -0.780
-0.114 5.372 8.101
Ru Cl Te Sm
2 2 2 6
direct
0.250 0.576 0.115
0.750 0.424 0.885
0.750 0.856 0.420
0.250 0.144 0.580
0.750 0.904 0.815
0.250 0.096 0.185
0.250 0.190 0.878
0.750 0.810 0.122
0.250 0.654 0.394
0.750 0.346 0.606
0.250 0.630 0.831
0.750 0.370 0.169
```


# 3
Here is a relaxed Sm6ZnRu2Cl3 crystal from Alexandria via LeMat-Bulk. Energies are from PBE.

Output
- Total magnetic moment: 0.00 Bohr magnetons per cell
- Raw total energy: -64.34 eV per cell
- Raw formation energy: -889 meV/atom

```
Sm6ZnRu2Cl3
1.0
7.035 -0.013 0.005
-3.527 6.087 0.005
-1.165 -2.017 7.540
Cl Zn Sm Ru
3 1 6 2
direct
0.500 0.500 0.500
0.828 0.172 0.500
0.172 0.828 0.500
0.000 0.000 0.000
0.932 0.575 0.791
0.287 0.287 0.789
0.713 0.713 0.211
0.575 0.932 0.791
0.068 0.425 0.209
0.425 0.068 0.209
0.334 0.666 0.000
0.666 0.334 0.000
```


# 4
Here is a relaxed SnRu3Cl crystal from Alexandria via LeMat-Bulk. Energies are from PBE.

Output
- Total magnetic moment: 5.96 Bohr magnetons per cell
- Raw total energy: -24.33 eV per cell
- Raw formation energy: 1870 meV/atom

```
SnRu3Cl
1.0
4.999 0.000 0.000
0.000 4.999 0.000
0.000 0.000 4.999
Ru Sn Cl
3 1 1
direct
0.000 0.000 0.500
0.000 0.500 0.000
0.500 0.000 0.000
0.000 0.000 0.000
0.500 0.500 0.500
```